Entry 1:
This record from Alexandria describes a relaxed AlTlSb crystal. The functional is PBE-GGA.

Results
As for the distance to the lowest polymorph of the same formula: 7 meV/atom. The density of states at the Fermi level is 0.12 states/eV/atom. The magnetic moment comes out at 0.0 Bohr magnetons per cell.

a b c (Å): 10.2984 4.4096 9.1240
angles (deg): 90.00 114.33 90.00
Last column: nearest neighbours and their distance in Å.
Fractional coordinates of all 12 atoms:
Al 0.9604 0.0000 0.6161  1 Al 2.56, 3 Sb 2.77-2.80
Al 0.9604 0.5000 0.1161  1 Al 2.56, 3 Sb 2.77-2.80
Al 0.0396 0.0000 0.3839  1 Al 2.56, 3 Sb 2.77-2.80
Al 0.0396 0.5000 0.8839  1 Al 2.56, 3 Sb 2.77-2.80
Sb 0.2085 0.0000 0.9025  3 Al 2.77-2.80
Sb 0.7915 0.0000 0.0975  3 Al 2.77-2.80
Sb 0.7915 0.5000 0.5975  3 Al 2.77-2.80
Sb 0.2085 0.5000 0.4025  3 Al 2.77-2.80
Tl 0.3839 0.5000 0.7921  3 Sb 3.26, 3 Tl 3.55-3.56
Tl 0.6161 0.0000 0.7079  3 Sb 3.26, 3 Tl 3.55-3.56
Tl 0.3839 0.0000 0.2921  3 Sb 3.26, 3 Tl 3.55-3.56
Tl 0.6161 0.5000 0.2079  3 Sb 3.26, 3 Tl 3.55-3.56



Entry 2:
This record from Alexandria describes a relaxed AlTlSb2 crystal. The functional is PBE-GGA.

Results
As for the distance to the lowest polymorph of the same formula: 196 meV/atom. The density of states at the Fermi level is 0.54 states/eV/atom. The magnetic moment comes out at 0.0 Bohr magnetons per cell.

a b c (Å): 3.8793 3.8797 7.3829
angles (deg): 90.00 90.00 90.00
Last column: nearest neighbours and their distance in Å.
Fractional coordinates of all 4 atoms:
Sb 0.0000 0.0000 0.9893  4 Al 3.10, 4 Sb 3.15, 1 Tl 3.47
Sb 0.5000 0.5000 0.1980  1 Al 2.99, 4 Sb 3.15
Al 0.5000 0.5000 0.7937  5 Sb 2.99-3.10
Tl 0.0000 0.0000 0.5191  4 Al 3.41, 5 Sb 3.47-3.63



Entry 3:
This record from Alexandria describes a relaxed Al2TlSb2 crystal. The functional is PBE-GGA.

Results
As for the distance to the lowest polymorph of the same formula: 0 meV/atom. The density of states at the Fermi level is 0.32 states/eV/atom. The magnetic moment comes out at 0.0 Bohr magnetons per cell.

a b c (Å): 4.3045 4.3045 8.1517
angles (deg): 74.69 74.69 90.00
Last column: nearest neighbours and their distance in Å.
Fractional coordinates of all 5 atoms:
Al 0.7500 0.2500 0.5000  4 Sb 2.80, 4 Al 3.04
Al 0.2500 0.7500 0.5000  4 Sb 2.80, 4 Al 3.04
Sb 0.3687 0.3687 0.2625  4 Al 2.80
Sb 0.6313 0.6313 0.7375  4 Al 2.80
Tl 0.0000 0.0000 0.0000  8 Sb 3.63



Entry 4:
This record from Alexandria describes a relaxed AlTlSb crystal. The functional is PBE-GGA.

Results
As for the distance to the lowest polymorph of the same formula: 0 meV/atom. The density of states at the Fermi level is 0.33 states/eV/atom. The magnetic moment comes out at 0.0 Bohr magnetons per cell.

a b c (Å): 4.4805 9.7579 7.6677
angles (deg): 90.00 90.00 90.00
Last column: nearest neighbours and their distance in Å.
Fractional coordinates of all 12 atoms:
Tl 0.0000 0.5000 0.2513  2 Al 3.21, 2 Sb 3.36, 2 Tl 3.58
Tl 0.5000 0.5000 0.8868  4 Al 3.28, 4 Sb 3.43, 2 Tl 3.58
Tl 0.0000 0.0000 0.3868  4 Al 3.28, 4 Sb 3.43, 2 Tl 3.58
Tl 0.5000 0.0000 0.7513  2 Al 3.21, 2 Sb 3.36, 2 Tl 3.58
Sb 0.5000 0.2597 0.4644  3 Al 2.76-2.81
Sb 0.5000 0.7403 0.4644  3 Al 2.76-2.81
Sb 0.0000 0.7597 0.9644  3 Al 2.76-2.81
Sb 0.0000 0.2403 0.9644  3 Al 2.76-2.81
Al 0.0000 0.3602 0.6306  1 Al 2.73, 3 Sb 2.76-2.81
Al 0.5000 0.8602 0.1306  1 Al 2.73, 3 Sb 2.76-2.81
Al 0.0000 0.6398 0.6306  1 Al 2.73, 3 Sb 2.76-2.81
Al 0.5000 0.1398 0.1306  1 Al 2.73, 3 Sb 2.76-2.81



Entry 5:
This record from Alexandria describes a relaxed Al4TlSb crystal. The functional is PBE-GGA.

Results
The density of states at the Fermi level is 0.70 states/eV/atom. The magnetic moment comes out at 0.0 Bohr magnetons per cell.

a b c (Å): 5.6650 5.6650 5.6650
angles (deg): 60.00 60.00 60.00
Last column: nearest neighbours and their distance in Å.
Fractional coordinates of all 6 atoms:
Al 0.3755 0.8734 0.3755  6 Al 2.82-2.84
Al 0.8734 0.3755 0.3755  6 Al 2.82-2.84
Al 0.3755 0.3755 0.8734  6 Al 2.82-2.84
Al 0.3755 0.3755 0.3755  6 Al 2.82-2.84
Tl 0.0000 0.0000 0.0000  12 Al 3.32, 4 Sb 3.47
Sb 0.7500 0.7500 0.7500  12 Al 3.32, 4 Tl 3.47



Entry 6:
This record from Alexandria describes a relaxed AlTlSb crystal. The functional is PBE-GGA.

Results
As for the distance to the lowest polymorph of the same formula: 14 meV/atom. The density of states at the Fermi level is 0.25 states/eV/atom. The magnetic moment comes out at 0.0 Bohr magnetons per cell.

a b c (Å): 8.1006 4.3659 11.7425
angles (deg): 90.00 124.78 90.00
Last column: nearest neighbours and their distance in Å.
Fractional coordinates of all 12 atoms:
Sb 0.7593 0.0000 0.2050  3 Al 2.77-2.86
Sb 0.2407 0.0000 0.7950  3 Al 2.77-2.86
Sb 0.7593 0.5000 0.7050  3 Al 2.77-2.86
Sb 0.2407 0.5000 0.2950  3 Al 2.77-2.86
Tl 0.3533 0.0000 0.5675  5 Sb 3.28-3.54, 2 Al 3.42, 1 Tl 3.53
Tl 0.6467 0.0000 0.4325  5 Sb 3.28-3.54, 2 Al 3.42, 1 Tl 3.53
Tl 0.6467 0.5000 0.9325  5 Sb 3.28-3.54, 2 Al 3.42, 1 Tl 3.53
Tl 0.3533 0.5000 0.0675  5 Sb 3.28-3.54, 2 Al 3.42, 1 Tl 3.53
Al 0.0357 0.0000 0.1274  1 Al 2.71, 3 Sb 2.77-2.86
Al 0.9643 0.0000 0.8726  1 Al 2.71, 3 Sb 2.77-2.86
Al 0.9643 0.5000 0.3726  1 Al 2.71, 3 Sb 2.77-2.86
Al 0.0357 0.5000 0.6274  1 Al 2.71, 3 Sb 2.77-2.86



Number 1: uncorrected energy -3.398 eV per atom. Number 2: uncorrected energy -3.401 eV per atom. Number 3: uncorrected energy -3.628 eV per atom. Number 4: uncorrected energy -3.405 eV per atom. Number 5: uncorrected energy -3.351 eV per atom. Number 6: uncorrected energy -3.391 eV per atom.